First-principles (GGA-PBE) data for crystalline Mg2Hg2AsO6 at its relaxed geometry, as listed in Alexandria.

Output
space-group type	No. 12
E_tot	-4.8727	eV per atom

Unit cell a=5.3250 b=5.3250 c=6.3037 alpha=88.25 beta=88.25 gamma=120.38
Closest atoms and distances in Å follow each position.
Fractional coordinates of all 11 atoms:
Hg 0.1657 0.8343 0.0000  2 O 2.20
Hg 0.8343 0.1657 0.0000  2 O 2.20
As 0.0000 0.0000 0.5000  6 O 1.82-1.93
O 0.2909 0.9827 0.6645  1 As 1.93, 2 Mg 2.13-2.14
O 0.9827 0.2909 0.6645  1 As 1.93, 2 Mg 2.13-2.14
O 0.0173 0.7091 0.3355  1 As 1.93, 2 Mg 2.13-2.14
O 0.6988 0.6988 0.6546  1 As 1.82
O 0.3012 0.3012 0.3454  1 As 1.82
O 0.7091 0.0173 0.3355  1 As 1.93, 2 Mg 2.13-2.14
Mg 0.6615 0.3385 0.5000  6 O 2.10-2.14
Mg 0.3385 0.6615 0.5000  6 O 2.10-2.14



First-principles (GGA-PBE) data for crystalline LaCePm5Sm2 at its relaxed geometry, as listed in Alexandria.

Output
space-group type	No. 127
DFT formation energy	0.275	eV/atom

Unit cell a=9.2198 b=8.2397 c=8.2397 alpha=90.00 beta=90.00 gamma=90.00
Closest atoms and distances in Å follow each position.
Fractional coordinates of all 18 atoms:
Ce 0.0000 0.5000 0.0000  4 Pm 3.14
Ce 0.0000 0.0000 0.5000  4 Pm 3.14
Pm 0.7684 0.6976 0.8024  1 Ce 3.14, 1 Sm 3.20
Pm 0.2316 0.1976 0.6976  1 Ce 3.14, 1 Sm 3.20
Pm 0.5000 0.0000 0.0000  4 Sm 3.24
Pm 0.2316 0.3024 0.1976  1 Ce 3.14, 1 Sm 3.20
Pm 0.7684 0.8024 0.3024  1 Ce 3.14, 1 Sm 3.20
Pm 0.7684 0.1976 0.6976  1 Ce 3.14, 1 Sm 3.20
Pm 0.2316 0.8024 0.3024  1 Ce 3.14, 1 Sm 3.20
Pm 0.7684 0.3024 0.1976  1 Ce 3.14, 1 Sm 3.20
Pm 0.2316 0.6976 0.8024  1 Ce 3.14, 1 Sm 3.20
Pm 0.5000 0.5000 0.5000  4 Sm 3.24
Sm 0.5000 0.1286 0.3714  1 Sm 3.00, 4 Pm 3.20-3.24
Sm 0.5000 0.8714 0.6286  1 Sm 3.00, 4 Pm 3.20-3.24
Sm 0.5000 0.6286 0.1286  1 Sm 3.00, 4 Pm 3.20-3.24
Sm 0.5000 0.3714 0.8714  1 Sm 3.00, 4 Pm 3.20-3.24
La 0.0000 0.5000 0.5000  8 Pm 3.66
La 0.0000 0.0000 0.0000  8 Pm 3.66



First-principles (GGA-PBE) data for crystalline VPPt2Rh at its relaxed geometry, as listed in Alexandria.

Output
space-group type	No. 123
DFT formation energy	0.317	eV/atom

Unit cell a=4.4218 b=4.3047 c=4.4218 alpha=90.00 beta=90.00 gamma=90.00
Closest atoms and distances in Å follow each position.
Fractional coordinates of all 5 atoms:
Pt 0.0000 0.0000 0.5000  2 P 2.21
Pt 0.5000 0.0000 0.0000  2 P 2.21
P 0.0000 0.0000 0.0000  2 V 2.15, 4 Pt 2.21
Rh 0.5000 0.5000 0.5000  8 Pt 3.09, 4 V 3.13
V 0.0000 0.5000 0.0000  2 P 2.15



First-principles (GGA-PBE) data for crystalline CsMg2PaCl8 at its relaxed geometry, as listed in Alexandria.

Output
space-group type	No. 148
E_tot	-4.1160	eV per atom

Unit cell a=6.6850 b=6.6850 c=11.3433 alpha=72.86 beta=72.86 gamma=60.00
Closest atoms and distances in Å follow each position.
Fractional coordinates of all 12 atoms:
Cl 0.8168 0.8168 0.5498  1 Mg 2.28
Cl 0.6125 0.2855 0.1564  1 Mg 2.39
Cl 0.2855 0.9456 0.1564  1 Mg 2.39
Cl 0.9456 0.6125 0.1564  1 Mg 2.39
Cl 0.7145 0.0544 0.8436  1 Mg 2.39
Cl 0.0544 0.3875 0.8436  1 Mg 2.39
Cl 0.3875 0.7145 0.8436  1 Mg 2.39
Cl 0.1832 0.1832 0.4502  1 Mg 2.28
Mg 0.2544 0.2544 0.2367  4 Cl 2.28-2.39
Mg 0.7456 0.7456 0.7633  4 Cl 2.28-2.39
Pa 0.0000 0.0000 0.0000  6 Cl 2.80
Cs 0.5000 0.5000 0.5000  12 Cl 3.90-4.28



First-principles (GGA-PBE) data for crystalline La3HgO at its relaxed geometry, as listed in Alexandria.

Output
space-group type	No. 15
ΔE to the lowest computed polymorph	0.159	eV per atom

Unit cell a=13.7425 b=9.4709 c=9.4709 alpha=92.88 beta=129.25 gamma=50.75
Closest atoms and distances in Å follow each position.
Fractional coordinates of all 20 atoms:
La 0.1484 0.2718 0.3645  1 O 2.39
La 0.1979 0.7563 0.9364  1 O 2.30
La 0.3516 0.8645 0.7718  1 O 2.39
La 0.6484 0.1355 0.2282  1 O 2.39
La 0.6530 0.9952 0.8477  2 O 2.33-2.39
La 0.8021 0.2437 0.0636  1 O 2.30
La 0.6979 0.5636 0.7437  1 O 2.30
La 0.3021 0.4364 0.2563  1 O 2.30
La 0.8470 0.3477 0.4952  2 O 2.33-2.39
La 0.8516 0.7282 0.6355  1 O 2.39
La 0.3470 0.0048 0.1523  2 O 2.33-2.39
La 0.1530 0.6523 0.5048  2 O 2.33-2.39
Hg 0.7500 0.6947 0.1947  6 La 3.22-3.54
Hg 0.7500 0.1711 0.6711  6 La 3.23-3.56
Hg 0.2500 0.3053 0.8053  6 La 3.22-3.54
Hg 0.2500 0.8289 0.3289  6 La 3.23-3.56
O 0.3158 0.3470 0.4945  4 La 2.30-2.39
O 0.8158 0.0055 0.1530  4 La 2.30-2.39
O 0.6842 0.6530 0.5055  4 La 2.30-2.39
O 0.1842 0.9945 0.8470  4 La 2.30-2.39



First-principles (GGA-PBE) data for crystalline LaZrPb2 at its relaxed geometry, as listed in Alexandria.

Output
space-group type	No. 8
DFT formation energy	-0.203	eV/atom

Unit cell a=6.2686 b=6.2686 c=5.6469 alpha=90.15 beta=90.15 gamma=31.01
Closest atoms and distances in Å follow each position.
Fractional coordinates of all 4 atoms:
Pb 0.7636 0.7636 0.6252  3 Zr 3.16-3.33, 4 La 3.29, 2 Pb 3.35
Pb 0.9872 0.9872 0.1247  3 La 3.14-3.35, 4 Zr 3.29, 2 Pb 3.35
Zr 0.5018 0.5018 0.6249  7 Pb 3.16-3.33, 2 Zr 3.35
La 0.2473 0.2473 0.1252  7 Pb 3.14-3.35, 2 La 3.35



First-principles (GGA-PBE) data for crystalline TcMoAs2Se at its relaxed geometry, as listed in Alexandria.

Output
space-group type	No. 123
ΔE to the lowest computed polymorph	0.069	eV per atom

Unit cell a=4.9081 b=4.9081 c=4.8286 alpha=90.00 beta=90.00 gamma=90.00
Closest atoms and distances in Å follow each position.
Fractional coordinates of all 5 atoms:
Se 0.0000 0.0000 0.5000  2 Mo 2.41
Tc 0.5000 0.5000 0.5000  8 As 3.44, 4 Se 3.47
As 0.5000 0.0000 0.0000  2 Mo 2.45
As 0.0000 0.5000 0.0000  2 Mo 2.45
Mo 0.0000 0.0000 0.0000  2 Se 2.41, 4 As 2.45



First-principles (GGA-PBE) data for crystalline PaCdIn2 at its relaxed geometry, as listed in Alexandria.

Output
space-group type	No. 123
ΔE to the lowest computed polymorph	0.147	eV per atom
DFT formation energy	0.097	eV/atom

Unit cell a=3.5784 b=3.5784 c=7.7838 alpha=90.00 beta=90.00 gamma=90.00
Closest atoms and distances in Å follow each position.
Fractional coordinates of all 4 atoms:
Pa 0.5000 0.5000 0.5000  8 In 3.29, 4 Pa 3.58
Cd 0.5000 0.5000 0.0000  8 In 3.10
In 0.0000 0.0000 0.7698  4 Cd 3.10, 4 Pa 3.29
In 0.0000 0.0000 0.2302  4 Cd 3.10, 4 Pa 3.29